Below is an optimized crystal structure of Hf3AgIr, with properties calculated at the GGA-PBE level.

POSCAR file:
```
Hf3AgIr
1.0
5.0164 0.0000 0.0000
0.0000 5.0164 0.0000
0.0000 0.0000 5.0164
Hf Ag Ir
3 1 1
Direct
0.0000 0.0000 0.5000
0.0000 0.5000 0.0000
0.5000 0.0000 0.0000
0.5000 0.5000 0.5000
0.0000 0.0000 0.0000
```

Computed properties:
Space-group type: No. 221
M_tot, μB per formula unit: 0.00
Energy of formation from the pure elements, meV/atom: 298
Final energy, eV per atom: -8.017